[1]
Crystalline Pm3Os2C3 at its relaxed geometry. Source: Alexandria, functional PBE.

The space group is Cmcm (No. 63) and the conventional cell measures 3.606, 11.359 and 13.006 Å, with angles of 90.00, 90.00 and 90.00 degrees. Symmetry generates all atoms from Pm at (0.000, 0.057, 0.116), Pm at (0.000, 0.326, 0.250), Os at (0.000, 0.223, 0.573), C at (0.000, 0.339, 0.750) and C at (0.000, 0.360, 0.046).

Its calculated density is 10.6 Mg/m³. Its total energy is -7.869 eV per atom. For the energy of formation from the pure elements, the calculation gives 138 kJ/mol of formula units.

---

[2]
Crystalline Pm4Os3C5 at its relaxed geometry. Source: Alexandria, functional PBE.

The space group is C2/m (No. 12) and the conventional cell measures 11.902, 3.960 and 9.835 Å, with angles of 90.00, 114.80 and 90.00 degrees. Symmetry generates all atoms from Pm at (0.107, 0.000, 0.403), Pm at (0.242, 0.500, 0.167), Os at (0.000, 0.000, 0.000), Os at (0.049, 0.500, 0.828), C at (0.000, 0.500, 0.000), C at (0.114, 0.500, 0.677) and C at (0.193, 0.500, 0.611).

Its calculated density is 9.6 Mg/m³. Its total energy is -8.333 eV per atom. For the energy of formation from the pure elements, the calculation gives -114 kJ/mol of formula units.

---

[3]
Crystalline PmOsC2 at its relaxed geometry. Source: Alexandria, functional PBE.

The space group is R-3m (No. 166, hexagonal axes) and the conventional cell measures 3.3575, 3.3575 and 16.0750 Å, with angles of 90.00, 90.00 and 120.00 degrees. Symmetry generates all atoms from Pm at (0.0000, 0.0000, 0.0000), Os at (0.0000, 0.0000, 0.5000) and C at (0.0000, 0.0000, 0.2294).

Its calculated density is 11.4 Mg/m³. As for the energy above the lowest structure with this stoichiometry: 469 meV per atom. Its total energy is -8.229 eV per atom. For the energy of formation from the pure elements, the calculation gives 146 kJ/mol of formula units.

---

[4]
Crystalline Pm3OsC4 at its relaxed geometry. Source: Alexandria, functional PBE.

The space group is C2/m (No. 12) and the conventional cell measures 16.610, 3.699 and 4.458 Å, with angles of 90.00, 100.23 and 90.00 degrees. Symmetry generates all atoms from Pm at (0.000, 0.000, 0.000), Pm at (0.175, 0.000, 0.706), Os at (0.000, 0.500, 0.500), C at (0.102, 0.500, 0.325) and C at (0.173, 0.500, 0.220).

Its calculated density is 8.3 Mg/m³. As for the energy above the lowest structure with this stoichiometry: 0 meV per atom. Its total energy is -7.945 eV per atom. For the energy of formation from the pure elements, the calculation gives -114 kJ/mol of formula units.

---

[5]
Crystalline Pm2OsC4 at its relaxed geometry. Source: Alexandria, functional PBE.

The space group is Ibam (No. 72) and the conventional cell measures 7.879, 9.773 and 5.419 Å, with angles of 90.00, 90.00 and 90.00 degrees. Symmetry generates all atoms from Pm at (0.146, 0.151, 0.000), Os at (0.000, 0.500, 0.250), C at (0.165, 0.125, 0.500) and C at (0.173, 0.427, 0.000).

Its calculated density is 8.4 Mg/m³. Its total energy is -8.376 eV per atom. For the energy of formation from the pure elements, the calculation gives -97 kJ/mol of formula units.

---

[6]
Crystalline Pm2OsC2 at its relaxed geometry. Source: Alexandria, functional PBE.

The space group is Pnma (No. 62) and the conventional cell measures 6.532, 5.337 and 10.084 Å, with angles of 90.00, 90.00 and 90.00 degrees. Symmetry generates all atoms from Pm at (0.021, 0.250, 0.220), Pm at (0.193, 0.250, 0.549), Os at (0.233, 0.250, 0.860), C at (0.029, 0.750, 0.243) and C at (0.183, 0.750, 0.543).

Its calculated density is 9.5 Mg/m³. As for the energy above the lowest structure with this stoichiometry: 0 meV per atom. Its total energy is -8.114 eV per atom. For the energy of formation from the pure elements, the calculation gives -134 kJ/mol of formula units.

---

[7]
Crystalline Pm3OsC at its relaxed geometry. Source: Alexandria, functional PBE.

The space group is C2/m (No. 12) and the conventional cell measures 11.736, 5.116 and 8.287 Å, with angles of 90.00, 112.08 and 90.00 degrees. Symmetry generates all atoms from Pm at (0.098, 0.000, 0.220), Pm at (0.131, 0.500, 0.902), Pm at (0.164, 0.000, 0.642), Os at (0.088, 0.500, 0.454) and C at (0.136, 0.000, 0.946).

Its calculated density is 9.2 Mg/m³. Its total energy is -6.954 eV per atom. For the energy of formation from the pure elements, the calculation gives -6 kJ/mol of formula units.

---

[8]
Crystalline Pm2OsC2 at its relaxed geometry. Source: Alexandria, functional PBE.

The space group is P2_1/c (No. 14) and the conventional cell measures 8.318, 6.467 and 6.537 Å, with angles of 90.00, 100.45 and 90.00 degrees. Symmetry generates all atoms from Pm at (0.044, 0.246, 0.037), Pm at (0.336, 0.604, 0.866), Os at (0.357, 0.095, 0.871), C at (0.156, 0.574, 0.236) and C at (0.375, 0.237, 0.134).

Its calculated density is 9.7 Mg/m³. As for the energy above the lowest structure with this stoichiometry: 172 meV per atom. Its total energy is -7.942 eV per atom. For the energy of formation from the pure elements, the calculation gives -51 kJ/mol of formula units.

---

[9]
Crystalline Pm4OsC at its relaxed geometry. Source: Alexandria, functional PBE.

The space group is I4_1md (No. 109) and the conventional cell measures 9.178, 9.178 and 7.991 Å, with angles of 90.00, 90.00 and 90.00 degrees. Symmetry generates all atoms from Pm at (0.000, 0.302, 0.000), Pm at (0.000, 0.311, 0.469), Os at (0.000, 0.000, 0.486) and C at (0.000, 0.000, 0.979).

Its calculated density is 7.7 Mg/m³. Its total energy is -6.553 eV per atom. For the energy of formation from the pure elements, the calculation gives 13 kJ/mol of formula units.

---

[10]
Crystalline Pm3OsC4 at its relaxed geometry. Source: Alexandria, functional PBE.

The space group is C2/m (No. 12) and the conventional cell measures 12.940, 3.756 and 6.752 Å, with angles of 90.00, 108.20 and 90.00 degrees. Symmetry generates all atoms from Pm at (0.000, 0.000, 0.000), Pm at (0.192, 0.000, 0.707), Os at (0.000, 0.500, 0.500), C at (0.078, 0.500, 0.797) and C at (0.143, 0.500, 0.993).

Its calculated density is 7.2 Mg/m³. As for the energy above the lowest structure with this stoichiometry: 132 meV per atom. Its total energy is -7.813 eV per atom. For the energy of formation from the pure elements, the calculation gives -12 kJ/mol of formula units.

---

[11]
Crystalline PmOs2C2 at its relaxed geometry. Source: Alexandria, functional PBE.

The space group is I4/mmm (No. 139) and the conventional cell measures 3.830, 3.830 and 10.048 Å, with angles of 90.00, 90.00 and 90.00 degrees. Symmetry generates all atoms from Pm at (0.000, 0.000, 0.000), Os at (0.000, 0.500, 0.250) and C at (0.000, 0.000, 0.337).

Its calculated density is 12.4 Mg/m³. Its total energy is -8.866 eV per atom. For the energy of formation from the pure elements, the calculation gives 128 kJ/mol of formula units.

---

[12]
Crystalline Pm2OsC at its relaxed geometry. Source: Alexandria, functional PBE.

The space group is P-1 (No. 2) and the conventional cell measures 3.678, 3.920 and 7.234 Å, with angles of 105.65, 104.65 and 90.01 degrees. Symmetry generates all atoms from Pm at (0.127, 0.128, 0.255), Os at (0.500, 0.500, 0.000) and C at (0.500, 0.000, 0.000).

Its calculated density is 8.4 Mg/m³. Its total energy is -7.629 eV per atom. For the energy of formation from the pure elements, the calculation gives -54 kJ/mol of formula units.

---

[13]
Crystalline Pm2PrOsC2 at its relaxed geometry. Source: Alexandria, functional PBE.

The space group is Pnnm (No. 58) and the conventional cell measures 5.769, 11.341 and 3.915 Å, with angles of 90.00, 90.00 and 90.00 degrees. Symmetry generates all atoms from Pm at (0.032, 0.204, 0.000), Pr at (0.000, 0.500, 0.500), Os at (0.000, 0.000, 0.500) and C at (0.247, 0.616, 0.000).

Its calculated density is 8.4 Mg/m³. Its total energy is -7.399 eV per atom. For the energy of formation from the pure elements, the calculation gives -42 kJ/mol of formula units.

---

[14]
Crystalline Pm2SiOsC at its relaxed geometry. Source: Alexandria, functional PBE.

The space group is P2_1/m (No. 11) and the conventional cell measures 6.349, 4.106 and 8.692 Å, with angles of 90.00, 109.71 and 90.00 degrees. Symmetry generates all atoms from Pm at (0.209, 0.250, 0.387), Pm at (0.227, 0.250, 0.972), Si at (0.305, 0.750, 0.698), Os at (0.500, 0.250, 0.745) and C at (0.187, 0.750, 0.173).

Its raw formation energy is -384 meV/atom. Its calculated density is 8.1 Mg/m³. Its total energy is -7.459 eV per atom.

---

[15]
Crystalline PmSm2OsC2 at its relaxed geometry. Source: Alexandria, functional PBE.

The space group is Pnnm (No. 58) and the conventional cell measures 5.712, 11.263 and 3.861 Å, with angles of 90.00, 90.00 and 90.00 degrees. Symmetry generates all atoms from Pm at (0.000, 0.000, 0.000), Sm at (0.037, 0.295, 0.500), Os at (0.000, 0.500, 0.000) and C at (0.241, 0.885, 0.500).

Its calculated density is 8.8 Mg/m³. Its total energy is -7.416 eV per atom. For the energy of formation from the pure elements, the calculation gives -61 kJ/mol of formula units.

---

[16]
Crystalline Tb2PmOsC2 at its relaxed geometry. Source: Alexandria, functional PBE.

The space group is Pnnm (No. 58) and the conventional cell measures 5.664, 11.111 and 3.800 Å, with angles of 90.00, 90.00 and 90.00 degrees. Symmetry generates all atoms from Tb at (0.034, 0.205, 0.000), Pm at (0.000, 0.500, 0.500), Os at (0.000, 0.000, 0.500) and C at (0.242, 0.621, 0.000).

Its calculated density is 9.4 Mg/m³. Its total energy is -7.461 eV per atom. For the energy of formation from the pure elements, the calculation gives -104 kJ/mol of formula units.

---

[17]
Crystalline PmTh2OsC2 at its relaxed geometry. Source: Alexandria, functional PBE.

The space group is Pnnm (No. 58) and the conventional cell measures 5.852, 11.257 and 3.855 Å, with angles of 90.00, 90.00 and 90.00 degrees. Symmetry generates all atoms from Pm at (0.000, 0.000, 0.000), Th at (0.029, 0.295, 0.500), Os at (0.000, 0.500, 0.000) and C at (0.235, 0.883, 0.500).

Its calculated density is 10.8 Mg/m³. Its total energy is -8.382 eV per atom. For the energy of formation from the pure elements, the calculation gives -99 kJ/mol of formula units.

---

[18]
Crystalline PmU2OsC4 at its relaxed geometry. Source: Alexandria, functional PBE.

The space group is Cmcm (No. 63) and the conventional cell measures 3.551, 11.657 and 11.817 Å, with angles of 90.00, 90.00 and 90.00 degrees. Symmetry generates all atoms from Pm at (0.000, 0.105, 0.250), U at (0.000, 0.370, 0.047), Os at (0.000, 0.156, 0.750), C at (0.000, 0.000, 0.000), C at (0.000, 0.257, 0.614) and C at (0.000, 0.436, 0.250).

Its calculated density is 11.7 Mg/m³. Its total energy is -9.477 eV per atom. For the energy of formation from the pure elements, the calculation gives -35 kJ/mol of formula units.

---

[19]
Crystalline PmY2OsC2 at its relaxed geometry. Source: Alexandria, functional PBE.

The space group is Pnnm (No. 58) and the conventional cell measures 5.654, 11.102 and 3.786 Å, with angles of 90.00, 90.00 and 90.00 degrees. Symmetry generates all atoms from Pm at (0.000, 0.000, 0.000), Y at (0.033, 0.295, 0.500), Os at (0.000, 0.500, 0.000) and C at (0.243, 0.878, 0.500).

Its calculated density is 7.5 Mg/m³. Its total energy is -8.089 eV per atom. For the energy of formation from the pure elements, the calculation gives -114 kJ/mol of formula units.

---

[20]
Crystalline Pm2ZnOsC at its relaxed geometry. Source: Alexandria, functional PBE.

The space group is P4/mmm (No. 123) and the conventional cell measures 5.157, 5.157 and 3.906 Å, with angles of 90.00, 90.00 and 90.00 degrees. Symmetry generates all atoms from Pm at (0.000, 0.500, 0.000), Zn at (0.000, 0.000, 0.500), Os at (0.500, 0.500, 0.500) and C at (0.500, 0.500, 0.000).

Its calculated density is 8.9 Mg/m³. Its total energy is -6.533 eV per atom. For the energy of formation from the pure elements, the calculation gives -138 kJ/mol of formula units.

---

[21]
Crystalline PrOs2C at its relaxed geometry. Source: Alexandria, functional PBE.

The space group is Cmcm (No. 63) and the conventional cell measures 3.918, 10.618 and 6.788 Å, with angles of 90.00, 90.00 and 90.00 degrees. Symmetry generates all atoms from Pr at (0.000, 0.032, 0.250), Os at (0.000, 0.303, 0.069) and C at (0.000, 0.260, 0.750).

Its calculated density is 12.5 Mg/m³. Its total energy is -8.508 eV per atom. For the energy of formation from the pure elements, the calculation gives 234 kJ/mol of formula units.